(1)
The following is a DFT calculation (PBE-GGA) of a relaxed La2RuC crystal.

Its formation energy is -176.0 meV per atom. The space group is C2/m (12). The value obtained for the theoretical density is 6.06 g/cm3. The value obtained for the uncorrected energy is -58.12 eV per cell.

Cell lengths 14.889, 3.938, 3.772 Å; angles 90.00, 104.59, 90.00 degrees
Positions (direct):
La 0.121 0.000 0.120
La 0.379 0.500 0.880
La 0.621 0.500 0.120
La 0.879 0.000 0.880
Ru 0.000 0.500 0.500
Ru 0.500 0.000 0.500
C 0.000 0.000 0.500
C 0.500 0.500 0.500

***

(2)
The following is a DFT calculation (PBE-GGA) of a relaxed DyBeZn6Ni crystal.

Its formation energy is 56.6 meV per atom. The space group is Imma (74). The value obtained for the theoretical density is 7.00 g/cm3. The value obtained for the uncorrected energy is -42.49 eV per cell.

Cell lengths 7.557, 7.557, 7.557 Å; angles 127.85, 113.93, 88.90 degrees
Positions (direct):
Dy 0.451 0.201 0.250
Dy 0.549 0.799 0.750
Be 0.000 0.000 0.000
Be 0.500 0.000 0.500
Zn 0.118 0.423 0.294
Zn 0.118 0.825 0.696
Zn 0.165 0.915 0.250
Zn 0.248 0.498 0.750
Zn 0.371 0.175 0.794
Zn 0.371 0.577 0.196
Zn 0.629 0.423 0.804
Zn 0.629 0.825 0.206
Zn 0.752 0.502 0.250
Zn 0.835 0.085 0.750
Zn 0.882 0.175 0.304
Zn 0.882 0.577 0.706
Ni 0.000 0.000 0.500
Ni 0.000 0.500 0.000

***

(3)
The following is a DFT calculation (PBE-GGA) of a relaxed KSb2Os crystal.

Its energy above the most stable polymorph in this dataset is 800 meV/atom. The uncorrected formation energy comes out at 0.84 eV/atom. The space group is C2/m (12). The value obtained for the theoretical density is 8.64 g/cm3. The value obtained for the uncorrected energy is -34.40 eV per cell.

Cell lengths 6.399, 8.428, 3.389 Å; angles 90.00, 96.09, 90.00 degrees
Positions (direct):
K 0.000 0.000 0.000
K 0.500 0.500 0.000
Sb 0.250 0.250 0.500
Sb 0.250 0.750 0.500
Sb 0.750 0.250 0.500
Sb 0.750 0.750 0.500
Os 0.000 0.500 0.000
Os 0.500 0.000 0.000